Record 1
TlCr2Cl: optimized geometry, GGA-PBE.

Cell lengths 5.1352, 5.1352, 5.1352 Å; angles 60.00, 60.00, 60.00 degrees
Site moments in Bohr magnetons follow the coordinates.
Element x y z (fractional)
Cr  0.0000  0.0000  0.0000  4.13
Cr  0.7500  0.7500  0.7500  4.15
Tl  0.2500  0.2500  0.2500  0.06
Cl  0.5000  0.5000  0.5000  0.11

Results
- ΔE to the lowest computed polymorph (meV per atom) = 693.9
- symmetry = F-43m (216)

Record 2
ErPu2Mn: optimized geometry, GGA-PBE.

Cell lengths 4.7048, 4.7048, 5.6540 Å; angles 65.41, 65.41, 60.00 degrees
Site moments in Bohr magnetons follow the coordinates.
Element x y z (fractional)
Er  0.5000  0.5000  0.5000  0.71
Mn  0.0000  0.0000  0.0000  -2.58
Pu  0.2767  0.2767  0.1698  5.49
Pu  0.7233  0.7233  0.8302  5.49

Results
- ΔE to the lowest computed polymorph (meV per atom) = 197.7
- symmetry = R-3m (166)
- ΔH_f (0 K) (eV/atom) = 0.3296

Record 3
BaZnSiPd3: optimized geometry, GGA-PBE.

Cell lengths 6.0809, 7.0120, 7.1157 Å; angles 119.52, 90.00, 90.00 degrees
Element x y z (fractional)
Ba  0.7500  0.2321  0.4643
Ba  0.2500  0.7679  0.5357
Zn  0.2500  0.4855  0.9710
Zn  0.7500  0.5145  0.0290
Si  0.2500  0.0926  0.1851
Si  0.7500  0.9074  0.8149
Pd  0.2500  0.2816  0.5631
Pd  0.0000  0.2084  0.0000
Pd  0.5000  0.7916  0.0000
Pd  0.5000  0.2084  0.0000
Pd  0.0000  0.7916  0.0000
Pd  0.7500  0.7184  0.4369

Results
- symmetry = Cmcm (63)
- total DFT energy (no corrections) (eV per formula unit) = -27.45

Record 4
Li2CaC2: optimized geometry, GGA-PBE.

Cell lengths 6.0608, 6.0608, 4.0034 Å; angles 90.00, 90.00, 90.00 degrees
Element x y z (fractional)
Ca  0.0000  0.0000  0.0000
Ca  0.5000  0.5000  0.0000
C  0.4240  0.9240  0.0000
C  0.9240  0.5760  0.0000
C  0.5760  0.0760  0.0000
C  0.0760  0.4240  0.0000
Li  0.1404  0.6404  0.5000
Li  0.6404  0.8596  0.5000
Li  0.8596  0.3596  0.5000
Li  0.3596  0.1404  0.5000

Results
- ΔE to the lowest computed polymorph (meV per atom) = 0.0
- symmetry = P4/mbm (127)
- ΔH_f (0 K) (eV/atom) = 0.1129

Record 5
Pm2HoTe2N2: optimized geometry, GGA-PBE.

Cell lengths 4.4044, 4.4044, 8.7324 Å; angles 104.61, 104.61, 90.00 degrees
Element x y z (fractional)
Pm  0.3975  0.3975  0.7950
Pm  0.6025  0.6025  0.2050
Ho  0.0000  0.0000  0.0000
Te  0.1865  0.1865  0.3730
Te  0.8135  0.8135  0.6270
N  0.0000  0.5000  0.0000
N  0.5000  0.0000  0.0000

Results
- symmetry = I4/mmm (139)
- total DFT energy (no corrections) (eV per formula unit) = -45.55

Record 6
LiTlPdCl6: optimized geometry, GGA-PBE.

Cell lengths 6.7653, 6.7653, 10.8003 Å; angles 90.00, 90.00, 90.00 degrees
Element x y z (fractional)
Li  0.5000  0.5000  0.1646
Li  0.0000  0.0000  0.6646
Tl  0.5000  0.5000  0.4895
Tl  0.0000  0.0000  0.9895
Pd  0.5000  0.5000  0.8369
Pd  0.0000  0.0000  0.3369
Cl  0.1698  0.8302  0.4950
Cl  0.8302  0.1698  0.4950
Cl  0.3302  0.3302  0.9950
Cl  0.6698  0.6698  0.9950
Cl  0.1696  0.8304  0.1826
Cl  0.8304  0.1696  0.1826
Cl  0.3304  0.3304  0.6826
Cl  0.6696  0.6696  0.6826
Cl  0.8143  0.1857  0.8269
Cl  0.1857  0.8143  0.8269
Cl  0.6857  0.6857  0.3269
Cl  0.3143  0.3143  0.3269

Results
- symmetry = P4_2nm (102)
- total DFT energy (no corrections) (eV per formula unit) = -27.78

Record 7
Nd3SmSc2: optimized geometry, GGA-PBE.

Cell lengths 5.5164, 8.7888, 8.7888 Å; angles 111.49, 90.00, 90.00 degrees
Element x y z (fractional)
Nd  0.9930  0.8920  0.3723
Nd  0.4930  0.6277  0.1080
Nd  0.9930  0.3723  0.8920
Nd  0.4930  0.1080  0.6277
Nd  0.4930  0.9033  0.9033
Nd  0.9930  0.0967  0.0967
Sm  0.9930  0.7283  0.7283
Sm  0.4930  0.2717  0.2717
Sc  0.4930  0.6940  0.4859
Sc  0.9930  0.5141  0.3060
Sc  0.4930  0.4859  0.6940
Sc  0.9930  0.3060  0.5141

Results
- symmetry = Cmcm (63)
- ΔH_f (0 K) (eV/atom) = 0.2620

Record 8
BaLi2Ru: optimized geometry, GGA-PBE.

Cell lengths 3.4919, 3.4919, 7.7928 Å; angles 90.00, 90.00, 90.04 degrees
Site moments in Bohr magnetons follow the coordinates.
Element x y z (fractional)
Ba  0.5000  0.5000  0.6838  -0.01
Li  0.0000  0.0000  0.1018  0.00
Li  0.5000  0.5000  0.2842  0.00
Ru  0.0000  0.0000  0.4302  0.32

Results
- ΔE to the lowest computed polymorph (meV per atom) = 49.0
- symmetry = P4mm (99)
- ΔH_f (0 K) (eV/atom) = 0.4215